The following is a GGA-PBE calculation of an optimized crystal structure of YBi2I, from Alexandria.

The structure in POSCAR format:
```
YBi2I
1.0
4.678 0.000 0.000
0.000 4.678 0.000
2.339 2.339 12.421
I Bi Y
2 4 2
Cartesian
4.678 2.339 6.211 I
0.000 0.000 0.000 I
1.361 3.508 3.105 Bi
3.508 3.700 9.316 Bi
3.317 1.169 3.105 Bi
5.847 5.656 9.316 Bi
2.339 4.678 6.211 Y
2.339 2.339 0.000 Y
```

Results
As for the energy above the most stable polymorph in this dataset: 0.0 meV per atom. The calculation puts the energy relative to the elements, uncorrected at -1.26 eV/f.u. The calculation puts the total magnetization at 0.0 μB per cell. Its symmetry is I-42d. As for the density of states at the Fermi level: 4.581 states/eV per cell. Its crystal system is tetragonal. The final energy is -17.04 eV per formula unit.